# LiCr3O

An optimized crystal structure of LiCr3O (GGA+U, Alexandria).

Cell lengths 4.3303, 4.3303, 4.3303 Å; angles 90.00, 90.00, 90.00 degrees
Atoms (fractional coordinates):
Li  0.0000  0.0000  0.0000
Cr  0.0000  0.5000  0.5000
Cr  0.5000  0.0000  0.5000
Cr  0.5000  0.5000  0.0000
O  0.5000  0.5000  0.5000

Theoretical density, g/cm3: 3.66
Distance to the lowest polymorph of the same formula, kcal/mol of atoms: 0.00
D(E_F), states/eV/cell: 1.793
Symmetry: Pm-3m, No. 221